The following is a DFT calculation (PBE) of Ca3HgOs after structural relaxation.

Cell lengths 5.4623, 5.4623, 5.4623 Å; angles 90.00, 90.00, 90.00 degrees
Positions (direct):
Os  0.0000  0.0000  0.0000
Hg  0.5000  0.5000  0.5000
Ca  0.0000  0.5000  0.0000
Ca  0.0000  0.0000  0.5000
Ca  0.5000  0.0000  0.0000

Output
* formation energy: 0.234 eV per atom
* ΔE to the lowest computed polymorph: 0.0 meV per atom
* volume: 32.6 Å³/atom
* symmetry: Pm-3m

The following is a DFT calculation (PBE) of Hf2Cd2Ni after structural relaxation.

Cell lengths 6.7845, 6.7845, 4.3420 Å; angles 90.00, 90.00, 90.00 degrees
Positions (direct):
Hf  0.8333  0.3333  0.5000
Hf  0.1667  0.6667  0.5000
Cd  0.8572  0.6428  0.0000
Hf  0.3333  0.1667  0.5000
Cd  0.3572  0.8572  0.0000
Ni  0.0000  0.0000  0.0000
Cd  0.6428  0.1428  0.0000
Ni  0.5000  0.5000  0.0000
Hf  0.6667  0.8333  0.5000
Cd  0.1428  0.3572  0.0000

Output
* formation energy: 0.236 eV per atom
* volume: 20.0 Å³/atom
* symmetry: P4/mbm

The following is a DFT calculation (PBE) of GaNi4Mo after structural relaxation.

Cell lengths 4.7069, 4.7069, 4.7069 Å; angles 60.00, 60.00, 60.00 degrees
Site moments in Bohr magnetons follow the coordinates.
Positions (direct):
Ga  0.0000  0.0000  0.0000  0.00
Ni  0.6247  0.1259  0.6247  0.21
Ni  0.1259  0.6247  0.6247  0.21
Ni  0.6247  0.6247  0.1259  0.21
Ni  0.6247  0.6247  0.6247  0.21
Mo  0.2500  0.2500  0.2500  0.29

Output
* formation energy: -0.003 eV per atom
* volume: 12.3 Å³/atom
* symmetry: F-43m

The following is a DFT calculation (PBE) of Ac2PmS2O2 after structural relaxation.

Cell lengths 4.4882, 4.4882, 8.4530 Å; angles 105.40, 105.40, 90.00 degrees
Positions (direct):
Ac  0.3658  0.3658  0.7316
Pm  0.0000  0.0000  0.0000
O  0.5000  0.0000  0.0000
S  0.1780  0.1780  0.3560
S  0.8220  0.8220  0.6440
Ac  0.6342  0.6342  0.2684
O  0.0000  0.5000  0.0000

Output
* volume: 22.5 Å³/atom
* symmetry: I4/mmm
* VASP energy: -6.907 eV/atom

The following is a DFT calculation (PBE) of Ho2In8Rh after structural relaxation.

Cell lengths 4.6406, 4.6406, 12.1367 Å; angles 90.00, 90.00, 90.00 degrees
Positions (direct):
In  0.0000  0.5000  0.8766
In  0.5000  0.0000  0.5000
Ho  0.0000  0.0000  0.3096
In  0.5000  0.5000  0.6907
In  0.5000  0.0000  0.8766
In  0.0000  0.5000  0.1234
In  0.5000  0.0000  0.1234
In  0.5000  0.5000  0.3093
In  0.0000  0.5000  0.5000
Ho  0.0000  0.0000  0.6904
Rh  0.0000  0.0000  0.0000

Output
* formation energy: -0.396 eV per atom
* volume: 23.8 Å³/atom
* symmetry: P4/mmm

The following is a DFT calculation (PBE) of PtN after structural relaxation.

Cell lengths 3.0406, 3.0406, 6.5796 Å; angles 90.00, 90.00, 120.00 degrees
Positions (direct):
N  0.3333  0.6667  0.3693
Pt  0.3333  0.6667  0.7127
N  0.6667  0.3333  0.8693
Pt  0.6667  0.3333  0.2127

Output
* volume: 13.2 Å³/atom
* symmetry: P6_3mc
* VASP energy: -6.122 eV/atom

The following is a DFT calculation (PBE) of BaAg3Pd2 after structural relaxation.

Cell lengths 5.6559, 6.9793, 6.9793 Å; angles 97.15, 90.00, 90.00 degrees
Positions (direct):
Pd  0.0000  0.2290  0.7710
Ag  0.7500  0.4526  0.0701
Ag  0.2500  0.9531  0.9531
Ag  0.2500  0.5474  0.9299
Ag  0.2500  0.9299  0.5474
Ba  0.2500  0.3250  0.3250
Ag  0.7500  0.0701  0.4526
Ag  0.7500  0.0469  0.0469
Pd  0.0000  0.7710  0.2290
Pd  0.5000  0.7710  0.2290
Pd  0.5000  0.2290  0.7710
Ba  0.7500  0.6750  0.6750

Output
* formation energy: -0.230 eV per atom
* ΔE to the lowest computed polymorph: 0.0 meV per atom
* volume: 22.8 Å³/atom
* symmetry: Cmcm

The following is a DFT calculation (PBE) of Y2OsPbO8 after structural relaxation.

Cell lengths 5.0231, 5.0240, 6.8721 Å; angles 90.00, 90.00, 90.65 degrees
Positions (direct):
O  0.7356  0.7355  0.0000
Y  0.5000  0.5000  0.7486
O  0.3102  0.3106  0.5000
O  0.1819  0.8182  0.7893
Os  0.0000  0.0000  0.0000
O  0.8180  0.1817  0.7893
O  0.8181  0.1818  0.2107
O  0.2644  0.2645  0.0000
Pb  0.0000  0.0000  0.5000
Y  0.5000  0.5000  0.2514
O  0.6898  0.6894  0.5000
O  0.1820  0.8183  0.2107

Output
* volume: 14.5 Å³/atom
* symmetry: Cmmm
* VASP energy: -7.645 eV/atom

The following is a DFT calculation (PBE) of HIr2Cl2 after structural relaxation.

Cell lengths 5.4835, 5.4835, 4.6893 Å; angles 90.00, 90.00, 90.00 degrees
Positions (direct):
Ir  0.1878  0.3122  0.0000
Cl  0.6881  0.1881  0.5000
H  0.5000  0.5000  0.0000
Ir  0.6878  0.1878  0.0000
Cl  0.3119  0.8119  0.5000
Cl  0.1881  0.3119  0.5000
Cl  0.8119  0.6881  0.5000
Ir  0.3122  0.8122  0.0000
H  0.0000  0.0000  0.0000
Ir  0.8122  0.6878  0.0000

Output
* ΔE to the lowest computed polymorph: 0.0 meV per atom
* volume: 14.1 Å³/atom
* symmetry: P4/mbm

The following is a DFT calculation (PBE) of Ce3PuTc2 after structural relaxation.

Cell lengths 6.5044, 7.2460, 8.3259 Å; angles 115.79, 112.99, 90.00 degrees
Site moments in Bohr magnetons follow the coordinates.
Positions (direct):
Ce  0.5000  0.7500  0.0000  0.39
Pu  0.0000  0.0000  0.0000  4.79
Tc  0.6049  0.3729  0.7458  -0.34
Ce  0.5000  0.2500  0.0000  0.39
Ce  0.7742  0.5242  0.5484  0.48
Tc  0.1409  0.8729  0.7458  -0.34
Tc  0.8591  0.1271  0.2542  -0.34
Ce  0.2258  0.4758  0.4516  0.48
Ce  0.2258  0.9758  0.4516  0.48
Pu  0.0000  0.5000  0.0000  4.79
Tc  0.3951  0.6271  0.2542  -0.34
Ce  0.7742  0.0242  0.5484  0.48

Output
* formation energy: 0.129 eV per atom
* volume: 26.5 Å³/atom
* symmetry: Ibam

The following is a DFT calculation (PBE) of Ca8N4Cl after structural relaxation.

Cell lengths 7.5091, 7.5091, 7.5091 Å; angles 60.00, 60.00, 60.00 degrees
Positions (direct):
Ca  0.1410  0.1410  0.5770
N  0.3751  0.8747  0.3751
Ca  0.6049  0.1854  0.6049
Ca  0.6049  0.6049  0.1854
Ca  0.6049  0.6049  0.6049
Cl  0.7500  0.7500  0.7500
N  0.3751  0.3751  0.3751
Ca  0.1410  0.5770  0.1410
Ca  0.1854  0.6049  0.6049
N  0.8747  0.3751  0.3751
N  0.3751  0.3751  0.8747
Ca  0.5770  0.1410  0.1410
Ca  0.1410  0.1410  0.1410

Output
* volume: 23.0 Å³/atom
* symmetry: F-43m
* VASP energy: -4.825 eV/atom

The following is a DFT calculation (PBE) of Co3AgSn after structural relaxation.

Cell lengths 4.6916, 4.6916, 4.6916 Å; angles 90.00, 90.00, 90.00 degrees
Site moments in Bohr magnetons follow the coordinates.
Positions (direct):
Ag  0.5000  0.5000  0.5000  -0.03
Co  0.5000  0.0000  0.0000  1.67
Co  0.0000  0.5000  0.0000  1.56
Co  0.0000  0.0000  0.5000  1.42
Sn  0.0000  0.0000  0.0000  -0.11

Output
* formation energy: 1.379 eV per atom
* ΔE to the lowest computed polymorph: 0.0 meV per atom
* volume: 20.7 Å³/atom
* symmetry: Pm-3m